# La2CdGa3Cu4

La2CdGa3Cu4 after structural relaxation (GGA-PBE, Alexandria).

Cell lengths 4.3593, 4.3593, 10.2382 Å; angles 90.00, 90.00, 90.00 degrees
Space group P-4m2 (No. 115)
Symmetry-distinct sites (fractional):
La 0.0000 0.5000 0.2357 [2 per cell]
Cd 0.0000 0.0000 0.5000 [1 per cell]
Ga 0.0000 0.5000 0.8786 [2 per cell]
Ga 0.5000 0.5000 0.5000 [1 per cell]
Cu 0.0000 0.0000 0.0000 [1 per cell]
Cu 0.0000 0.5000 0.6420 [2 per cell]
Cu 0.5000 0.5000 0.0000 [1 per cell]

Summary:
The density of states at the Fermi level comes out at 7.22 states/eV per cell. The final energy is -3.99 eV/atom. Its crystal system is tetragonal. As for the density: 7.29 g cm⁻³.